Density functional theory data (GGA-PBE) for a geometry-optimized La2MgSbN structure.

The energy is -5.738 eV per atom. For the raw formation energy, the calculation gives -0.959 eV per atom. The total magnetic moment comes out at 0.00 μB/atom.

The structure belongs to space group P4/mmm (No. 123); the cell edges are 5.190, 5.190 and 4.376 Å and the angles 90.00°, 90.00° and 90.00°. The inequivalent atoms are La at (0.000, 0.500, 0.000), Mg at (0.000, 0.000, 0.500), Sb at (0.500, 0.500, 0.500) and N at (0.000, 0.000, 0.000).